Compound: TbPmInHg
Source: Alexandria
Functional: PBE
Structure: relaxed

```
data_TbPmInHg
_chemical_formula_sum 'Tb4 Pm4 In4 Hg4'
_cell_length_a 7.6105
_cell_length_b 7.6105
_cell_length_c 7.6105
_cell_angle_alpha 90.00
_cell_angle_beta 90.00
_cell_angle_gamma 90.00
_space_group_name_H-M_alt 'F -4 3 m'
_space_group_IT_number 216
_space_group_name_Hall 'F -4 2 3'
loop_
_atom_site_label
_atom_site_fract_x
_atom_site_fract_y
_atom_site_fract_z
_atom_site_occupancy
Tb1 0.0000 0.0000 0.0000 1
Pm1 0.0000 0.0000 0.5000 1
In1 0.2500 0.2500 0.7500 1
Hg1 0.2500 0.2500 0.2500 1
```

Properties
**Energy of formation from the pure elements**: -0.471 eV per atom